Version P
Here is Al2TcCl at its PBEsol-relaxed geometry from the Alexandria database. Energies are from meta-GGA SCAN.

a b c (Å): 6.8842 6.8842 5.5296
angles (deg): 90.00 90.00 90.00
Closest atoms and distances in Å follow each position.
Space group I-42d (No. 122)
Symmetry-distinct sites (fractional):
Al1 0.2494 0.7500 0.1250 [8 per cell]  2 Cl 2.53, 2 Tc 2.53, 2 Al 2.76
Tc1 0.0000 0.0000 0.5000 [4 per cell]  4 Al 2.53, 2 Cl 2.76
Cl1 0.0000 0.0000 0.0000 [4 per cell]  4 Al 2.53, 2 Tc 2.76

The size of the total moment comes out at 0.01 μB per formula unit.

Version Q
Here is Al2TcCl at its PBEsol-relaxed geometry from the Alexandria database. Energies are from meta-GGA SCAN.

a b c (Å): 6.7190 6.7353 2.7623
angles (deg): 90.00 90.00 90.00
Closest atoms and distances in Å follow each position.
Space group Cmmm (No. 65)
Symmetry-distinct sites (fractional):
Al1 0.2500 0.2500 0.0000 [4 per cell]  4 Cl 2.75, 4 Tc 2.75, 2 Al 2.76
Tc1 0.0000 0.0000 0.5000 [2 per cell]  8 Al 2.75, 2 Tc 2.76
Cl1 0.0000 0.5000 0.5000 [2 per cell]  8 Al 2.75, 2 Cl 2.76

The size of the total moment comes out at 0.00 μB per formula unit.

Most stable structure: version Q

Version P
Here is Hg5Sb at its PBEsol-relaxed geometry from the Alexandria database. Energies are from meta-GGA SCAN.

a b c (Å): 5.6010 5.6010 5.6621
angles (deg): 90.00 90.00 120.00
Closest atoms and distances in Å follow each position.
Space group P6/mmm (No. 191)
Symmetry-distinct sites (fractional):
Hg1 0.0000 0.5000 0.0000 [3 per cell]  4 Hg 2.80
Hg2 0.3333 0.6667 0.5000 [2 per cell]  3 Sb 3.23, 9 Hg 3.23-3.26
Sb1 0.0000 0.0000 0.5000 [1 per cell]  6 Hg 3.23

The size of the total moment comes out at 0.00 μB per formula unit.

Version Q
Here is Hg5Sb at its PBEsol-relaxed geometry from the Alexandria database. Energies are from meta-GGA SCAN.

a b c (Å): 11.4099 3.1428 9.8724
angles (deg): 90.00 124.32 90.00
Closest atoms and distances in Å follow each position.
Space group Cm (No. 8)
Symmetry-distinct sites (fractional):
Hg1 0.0000 0.0000 0.0000 [2 per cell]  3 Sb 2.91-3.20, 6 Hg 3.14-3.15
Hg2 0.0643 0.5000 0.6602 [2 per cell]  7 Hg 2.95-3.18, 2 Sb 3.18
Hg3 0.1405 0.5000 0.3330 [2 per cell]  9 Hg 2.95-3.17
Hg4 0.3096 0.0000 0.6675 [2 per cell]  9 Hg 2.95-3.18
Hg5 0.4000 0.5000 0.3345 [2 per cell]  7 Hg 2.95-3.17, 2 Sb 3.17
Sb1 0.2539 0.0000 0.9972 [2 per cell]  7 Hg 2.91-3.20, 2 Sb 3.14

The size of the total moment comes out at 0.00 μB per formula unit.

Most stable structure: version Q

Version P
Here is TcNi2Os at its PBEsol-relaxed geometry from the Alexandria database. Energies are from meta-GGA SCAN.

a b c (Å): 3.6283 3.6283 7.4077
angles (deg): 90.00 90.00 90.00
Closest atoms and distances in Å follow each position.
Space group I4/mmm (No. 139)
Symmetry-distinct sites (fractional):
Tc1 0.0000 0.0000 0.0000 [2 per cell]  4 Os 2.57, 8 Ni 2.59
Ni1 0.0000 0.5000 0.2500 [4 per cell]  4 Ni 2.57, 4 Tc 2.59, 4 Os 2.59
Os1 0.0000 0.0000 0.5000 [2 per cell]  4 Tc 2.57, 8 Ni 2.59

The size of the total moment comes out at 0.00 μB per formula unit.

Version Q
Here is TcNi2Os at its PBEsol-relaxed geometry from the Alexandria database. Energies are from meta-GGA SCAN.

a b c (Å): 3.9921 2.5565 9.5087
angles (deg): 90.00 90.00 90.00
Closest atoms and distances in Å follow each position.
Space group Amm2 (No. 38)
Symmetry-distinct sites (fractional):
Tc1 0.0000 0.0000 0.0000 [2 per cell]  7 Ni 2.47-2.62, 2 Tc 2.56, 4 Os 2.76
Ni1 0.0000 0.0000 0.2595 [2 per cell]  4 Ni 2.33-2.56, 1 Tc 2.47, 4 Os 2.60
Ni2 0.5000 0.0000 0.3868 [2 per cell]  4 Ni 2.33-2.56, 3 Os 2.48-2.61, 4 Tc 2.60
Os1 0.5000 0.0000 0.6479 [2 per cell]  7 Ni 2.48-2.61, 2 Os 2.56, 4 Tc 2.76

The size of the total moment comes out at 0.00 μB per formula unit.

Most stable structure: version Q

Version P
Here is BaHgPb2 at its PBEsol-relaxed geometry from the Alexandria database. Energies are from meta-GGA SCAN.

a b c (Å): 4.9375 4.9375 4.9950
angles (deg): 90.00 90.00 90.00
Closest atoms and distances in Å follow each position.
Space group P4/mmm (No. 123)
Symmetry-distinct sites (fractional):
Ba1 0.0000 0.0000 0.0000 [1 per cell]  4 Hg 3.49, 8 Pb 3.51
Hg1 0.5000 0.5000 0.0000 [1 per cell]  4 Ba 3.49, 8 Pb 3.51
Pb1 0.0000 0.5000 0.5000 [2 per cell]  4 Pb 3.49, 4 Hg 3.51, 4 Ba 3.51

The size of the total moment comes out at 0.00 μB per formula unit.

Version Q
Here is BaHgPb2 at its PBEsol-relaxed geometry from the Alexandria database. Energies are from meta-GGA SCAN.

a b c (Å): 7.9472 7.9472 7.9472
angles (deg): 90.00 90.00 90.00
Closest atoms and distances in Å follow each position.
Space group F-43m (No. 216)
Symmetry-distinct sites (fractional):
Ba1 0.0000 0.0000 0.0000 [4 per cell]  4 Hg 3.44, 4 Pb 3.44
Hg1 0.2500 0.2500 0.7500 [4 per cell]  4 Ba 3.44, 4 Pb 3.44
Pb1 0.0000 0.0000 0.5000 [4 per cell]  4 Pb 3.44, 4 Hg 3.44
Pb2 0.2500 0.2500 0.2500 [4 per cell]  4 Ba 3.44, 4 Pb 3.44

The size of the total moment comes out at 0.00 μB per formula unit.

Most stable structure: version Q

Version P
Here is SiPtSe2Br at its PBEsol-relaxed geometry from the Alexandria database. Energies are from meta-GGA SCAN.

a b c (Å): 4.8878 4.8878 4.9729
angles (deg): 90.00 90.00 90.00
Closest atoms and distances in Å follow each position.
Space group P4/mmm (No. 123)
Symmetry-distinct sites (fractional):
Si1 0.0000 0.0000 0.0000 [1 per cell]  4 Br 3.46, 8 Se 3.49
Pt1 0.5000 0.5000 0.5000 [1 per cell]  4 Se 2.44, 2 Br 2.49
Se1 0.0000 0.5000 0.5000 [2 per cell]  2 Pt 2.44
Br1 0.5000 0.5000 0.0000 [1 per cell]  2 Pt 2.49

The size of the total moment comes out at 0.00 μB per formula unit.

Version Q
Here is SiPtSe2Br at its PBEsol-relaxed geometry from the Alexandria database. Energies are from meta-GGA SCAN.

a b c (Å): 4.7862 4.7862 4.6192
angles (deg): 90.00 90.00 90.00
Closest atoms and distances in Å follow each position.
Space group P4/mmm (No. 123)
Symmetry-distinct sites (fractional):
Si1 0.0000 0.0000 0.0000 [1 per cell]  2 Br 2.31, 4 Se 2.39
Pt1 0.5000 0.5000 0.5000 [1 per cell]  8 Se 3.33, 4 Br 3.38
Se1 0.0000 0.5000 0.0000 [2 per cell]  2 Si 2.39
Br1 0.0000 0.0000 0.5000 [1 per cell]  2 Si 2.31

The size of the total moment comes out at 0.00 μB per formula unit.

Most stable structure: version P

Version P
Here is Fe3Co4 at its PBEsol-relaxed geometry from the Alexandria database. Energies are from meta-GGA SCAN.

a b c (Å): 10.4065 10.4065 2.4165
angles (deg): 90.00 90.00 120.00
Closest atoms and distances in Å follow each position.
Space group R3 (No. 146, hexagonal axes)
Symmetry-distinct sites (fractional):
Fe1 0.1441 0.4289 0.0000 [9 per cell]  4 Co 2.38-2.41, 4 Fe 2.42-2.43
Co1 0.0000 0.0000 0.0315 [3 per cell]  3 Fe 2.38, 5 Co 2.42-2.44
Co2 0.0484 0.8101 0.6562 [9 per cell]  3 Fe 2.40-2.41, 5 Co 2.42-2.44

The size of the total moment comes out at 15.67 μB per formula unit.

Version Q
Here is Fe3Co4 at its PBEsol-relaxed geometry from the Alexandria database. Energies are from meta-GGA SCAN.

a b c (Å): 3.9458 3.9458 16.8287
angles (deg): 90.00 90.00 120.00
Closest atoms and distances in Å follow each position.
Space group R-3m (No. 166, hexagonal axes)
Symmetry-distinct sites (fractional):
Fe1 0.0000 0.0000 0.0000 [3 per cell]  6 Fe 2.42, 2 Co 2.42
Fe2 0.0000 0.0000 0.2851 [6 per cell]  5 Co 2.37-2.41, 3 Fe 2.42
Co1 0.0000 0.0000 0.1441 [6 per cell]  2 Fe 2.37-2.42, 6 Co 2.40-2.42
Co2 0.0000 0.0000 0.4281 [6 per cell]  4 Fe 2.41, 4 Co 2.42

The size of the total moment comes out at 15.58 μB per formula unit.

Most stable structure: version Q

Version P
Here is IrPtRh at its PBEsol-relaxed geometry from the Alexandria database. Energies are from meta-GGA SCAN.

a b c (Å): 2.7186 2.7186 6.6401
angles (deg): 90.00 90.00 120.00
Closest atoms and distances in Å follow each position.
Space group P3m1 (No. 156)
Symmetry-distinct sites (fractional):
Ir1 0.0000 0.0000 0.0000 [1 per cell]  3 Rh 2.64, 6 Ir 2.72, 3 Pt 2.76
Pt1 0.6667 0.3333 0.6590 [1 per cell]  6 Pt 2.72, 3 Rh 2.74, 3 Ir 2.76
Rh1 0.3333 0.6667 0.3204 [1 per cell]  3 Ir 2.64, 6 Rh 2.72, 3 Pt 2.74

The size of the total moment comes out at 0.01 μB per formula unit.

Version Q
Here is IrPtRh at its PBEsol-relaxed geometry from the Alexandria database. Energies are from meta-GGA SCAN.

a b c (Å): 4.3513 4.3513 2.6486
angles (deg): 90.00 90.00 120.00
Closest atoms and distances in Å follow each position.
Space group P-6m2 (No. 187)
Symmetry-distinct sites (fractional):
Ir1 0.0000 0.0000 0.0000 [1 per cell]  2 Ir 2.65, 6 Rh 2.84, 6 Pt 2.84
Pt1 0.6667 0.3333 0.5000 [1 per cell]  3 Rh 2.51, 2 Pt 2.65
Rh1 0.3333 0.6667 0.5000 [1 per cell]  3 Pt 2.51, 2 Rh 2.65

The size of the total moment comes out at 0.00 μB per formula unit.

Most stable structure: version P

Version P
Here is ScMoAu2 at its PBEsol-relaxed geometry from the Alexandria database. Energies are from meta-GGA SCAN.

a b c (Å): 2.9269 4.6288 4.9758
angles (deg): 90.00 90.00 90.00
Closest atoms and distances in Å follow each position.
Space group Pmm2 (No. 25)
Symmetry-distinct sites (fractional):
Sc1 0.0000 0.0000 0.0000 [1 per cell]  8 Au 2.84-2.90, 2 Sc 2.93, 2 Mo 2.93
Mo1 0.0000 0.5000 0.6385 [1 per cell]  8 Au 2.82-2.95, 2 Mo 2.93, 2 Sc 2.93
Au1 0.5000 0.0000 0.5033 [1 per cell]  4 Mo 2.82, 4 Sc 2.87-2.90, 4 Au 2.90-2.93
Au2 0.5000 0.5000 0.1536 [1 per cell]  4 Mo 2.82-2.95, 4 Sc 2.84, 4 Au 2.90-2.93

The size of the total moment comes out at 0.00 μB per formula unit.

Version Q
Here is ScMoAu2 at its PBEsol-relaxed geometry from the Alexandria database. Energies are from meta-GGA SCAN.

a b c (Å): 9.4521 2.9252 5.0276
angles (deg): 90.00 101.24 90.00
Closest atoms and distances in Å follow each position.
Space group Cm (No. 8)
Symmetry-distinct sites (fractional):
Sc1 0.0000 0.0000 0.0000 [2 per cell]  7 Au 2.77-2.94, 3 Mo 2.92-3.04, 2 Sc 2.93
Mo1 0.2485 0.5000 0.2949 [2 per cell]  7 Au 2.76-2.97, 3 Sc 2.92-3.04, 2 Mo 2.93
Au1 0.2472 0.0000 0.7813 [2 per cell]  3 Sc 2.77-2.83, 4 Mo 2.85-2.97, 5 Au 2.92-2.99
Au2 0.4959 0.0000 0.4922 [2 per cell]  3 Mo 2.76-2.77, 4 Sc 2.88-2.94, 5 Au 2.92-2.99

The size of the total moment comes out at 0.00 μB per formula unit.

Most stable structure: version P

Version P
Here is BeTlBr2 at its PBEsol-relaxed geometry from the Alexandria database. Energies are from meta-GGA SCAN.

a b c (Å): 3.3267 6.0238 9.9998
angles (deg): 90.00 90.00 90.00
Closest atoms and distances in Å follow each position.
Space group Immm (No. 71)
Symmetry-distinct sites (fractional):
Be1 0.0000 0.0000 0.0000 [2 per cell]  4 Br 2.31
Tl1 0.0000 0.0000 0.5000 [2 per cell]  2 Tl 3.33, 4 Br 3.41, 4 Be 3.44
Br1 0.0000 0.5000 0.3401 [4 per cell]  2 Be 2.31

The size of the total moment comes out at 0.00 μB per formula unit.

Version Q
Here is BeTlBr2 at its PBEsol-relaxed geometry from the Alexandria database. Energies are from meta-GGA SCAN.

a b c (Å): 7.3661 7.3661 7.3661
angles (deg): 90.00 90.00 90.00
Closest atoms and distances in Å follow each position.
Space group Fm-3m (No. 225)
Symmetry-distinct sites (fractional):
Be1 0.0000 0.0000 0.0000 [4 per cell]  8 Br 3.19
Tl1 0.0000 0.0000 0.5000 [4 per cell]  8 Br 3.19
Br1 0.2500 0.2500 0.2500 [8 per cell]  4 Tl 3.19, 4 Be 3.19

The size of the total moment comes out at 0.97 μB per formula unit.

Most stable structure: version P

Version P
Here is Ca2TaTl at its PBEsol-relaxed geometry from the Alexandria database. Energies are from meta-GGA SCAN.

a b c (Å): 7.3203 7.3203 7.3203
angles (deg): 90.00 90.00 90.00
Closest atoms and distances in Å follow each position.
Space group F-43m (No. 216)
Symmetry-distinct sites (fractional):
Ca1 0.0000 0.0000 0.0000 [4 per cell]  4 Ta 3.17, 4 Ca 3.17
Ca2 0.2500 0.2500 0.2500 [4 per cell]  4 Tl 3.17, 4 Ca 3.17
Ta1 0.2500 0.2500 0.7500 [4 per cell]  4 Tl 3.17, 4 Ca 3.17
Tl1 0.0000 0.0000 0.5000 [4 per cell]  4 Ca 3.17, 4 Ta 3.17

The size of the total moment comes out at 3.12 μB per formula unit.

Version Q
Here is Ca2TaTl at its PBEsol-relaxed geometry from the Alexandria database. Energies are from meta-GGA SCAN.

a b c (Å): 3.4300 5.2569 10.7533
angles (deg): 90.00 90.00 90.00
Closest atoms and distances in Å follow each position.
Space group Immm (No. 71)
Symmetry-distinct sites (fractional):
Ca1 0.0000 0.0000 0.2462 [4 per cell]  6 Ca 3.14-3.43, 2 Tl 3.15, 2 Ta 3.22
Ta1 0.0000 0.5000 0.0000 [2 per cell]  4 Tl 3.14, 4 Ca 3.22, 2 Ta 3.43
Tl1 0.0000 0.5000 0.5000 [2 per cell]  4 Ta 3.14, 4 Ca 3.15, 2 Tl 3.43

The size of the total moment comes out at 0.00 μB per formula unit.

Most stable structure: version P

Version P
Here is CrNi2Os at its PBEsol-relaxed geometry from the Alexandria database. Energies are from meta-GGA SCAN.

a b c (Å): 2.5534 4.0693 4.4279
angles (deg): 90.00 90.00 90.00
Closest atoms and distances in Å follow each position.
Space group Pmm2 (No. 25)
Symmetry-distinct sites (fractional):
Cr1 0.0000 0.0000 0.0000 [1 per cell]  2 Os 2.48, 8 Ni 2.51-2.61, 2 Cr 2.55
Ni1 0.5000 0.0000 0.5131 [1 per cell]  4 Ni 2.44-2.55, 4 Cr 2.51-2.61, 4 Os 2.55
Ni2 0.5000 0.5000 0.8179 [1 per cell]  4 Ni 2.44-2.55, 4 Cr 2.53, 4 Os 2.55-2.56
Os1 0.0000 0.5000 0.3197 [1 per cell]  2 Cr 2.48, 8 Ni 2.55-2.56, 2 Os 2.55

The size of the total moment comes out at 0.00 μB per formula unit.

Version Q
Here is CrNi2Os at its PBEsol-relaxed geometry from the Alexandria database. Energies are from meta-GGA SCAN.

a b c (Å): 3.5212 3.5212 3.7132
angles (deg): 90.00 90.00 90.00
Closest atoms and distances in Å follow each position.
Space group P4/mmm (No. 123)
Symmetry-distinct sites (fractional):
Cr1 0.0000 0.0000 0.0000 [1 per cell]  4 Os 2.49, 8 Ni 2.56
Ni1 0.0000 0.5000 0.5000 [2 per cell]  4 Ni 2.49, 4 Cr 2.56, 4 Os 2.56
Os1 0.5000 0.5000 0.0000 [1 per cell]  4 Cr 2.49, 8 Ni 2.56

The size of the total moment comes out at 1.86 μB per formula unit.

Most stable structure: version Q

Version P
Here is MgCdPb2 at its PBEsol-relaxed geometry from the Alexandria database. Energies are from meta-GGA SCAN.

a b c (Å): 3.8001 5.5327 10.0509
angles (deg): 90.00 90.00 90.00
Closest atoms and distances in Å follow each position.
Space group Cmmm (No. 65)
Symmetry-distinct sites (fractional):
Mg1 0.0000 0.0000 0.0000 [2 per cell]  4 Pb 3.13, 4 Mg 3.36
Cd1 0.0000 0.0000 0.5000 [2 per cell]  4 Pb 3.17, 4 Cd 3.36
Pb1 0.0000 0.5000 0.2478 [4 per cell]  2 Mg 3.13, 2 Cd 3.17, 4 Pb 3.36

The size of the total moment comes out at 0.00 μB per formula unit.

Version Q
Here is MgCdPb2 at its PBEsol-relaxed geometry from the Alexandria database. Energies are from meta-GGA SCAN.

a b c (Å): 3.6143 5.2660 10.8406
angles (deg): 90.00 90.00 90.00
Closest atoms and distances in Å follow each position.
Space group Imm2 (No. 44)
Symmetry-distinct sites (fractional):
Mg1 0.0000 0.0000 0.0000 [2 per cell]  2 Cd 3.03, 6 Pb 3.20-3.29
Cd1 0.0000 0.5000 0.2761 [2 per cell]  2 Mg 3.03, 6 Pb 3.20-3.28
Pb1 0.0000 0.0000 0.5240 [2 per cell]  4 Mg 3.20, 2 Cd 3.28, 2 Pb 3.45
Pb2 0.0000 0.5000 0.7531 [2 per cell]  4 Cd 3.20, 2 Mg 3.29, 2 Pb 3.45

The size of the total moment comes out at 0.00 μB per formula unit.

Most stable structure: version Q